# SiIrPdCl2 | Alexandria | PBE-GGA | optimized geometry
data_SiIrPdCl2
_space_group_name_H-M_alt 'P 1'
_space_group_IT_number 1
_cell_length_a 4.883
_cell_length_b 4.883
_cell_length_c 4.608
_cell_angle_alpha 90.00
_cell_angle_beta 90.00
_cell_angle_gamma 90.00
loop_
_space_group_symop_operation_xyz
'x,y,z'
loop_
_atom_site_label
_atom_site_type_symbol
_atom_site_fract_x
_atom_site_fract_y
_atom_site_fract_z
Cl1 Cl 0.000 0.500 0.000
Cl2 Cl 0.500 0.000 0.000
Pd1 Pd 0.500 0.500 0.500
Ir1 Ir 0.000 0.000 0.000
Si1 Si 0.000 0.000 0.500
# * DOS at the Fermi energy: 1.48 states/eV/cell
# * total energy: -0.3000 Ry/atom
# * symmetry: P4/mmm (123)
# * size of the total moment: 0.0 Bohr magnetons per cell
# * energy relative to the elements, uncorrected: 0.5524 eV/atom